[1]
VASP calculation (GGA-PBE) on a geometry-optimized AlVW structure.

relative energy among the computed polymorphs	0.00	kJ per mole of atoms
electronic total energy	-26.22	eV/f.u.
N(E_F)	0.644	states/eV/atom
symmetry	P3m1, No. 156

abc: 4.3747 4.3747 2.6973
angles: 90.00 90.00 120.00
Fractional positions:
Al1 0.0000 0.0000 0.0000
V1 0.3333 0.6667 0.6540
W1 0.6667 0.3333 0.3853


[2]
VASP calculation (GGA-PBE) on a geometry-optimized AlVW structure.

relative energy among the computed polymorphs	4.27	kJ per mole of atoms
electronic total energy	-26.09	eV/f.u.
N(E_F)	0.672	states/eV/atom
symmetry	P-1, No. 2

abc: 2.6989 5.1391 6.7478
angles: 76.51 83.12 80.66
Fractional positions:
Al1 0.0011 0.0897 0.1811
Al2 0.9989 0.9103 0.8189
V1 0.2760 0.2599 0.4923
V2 0.7240 0.7401 0.5077
W1 0.4368 0.3997 0.8321
W2 0.5632 0.6003 0.1679


[3]
VASP calculation (GGA-PBE) on a geometry-optimized AlV6W5 structure.

electronic total energy	-124.33	eV/f.u.
N(E_F)	1.128	states/eV/atom
symmetry	Cmmm, No. 65

abc: 6.9109 6.9109 6.1577
angles: 90.00 90.00 143.26
Fractional positions:
Al1 0.0000 0.0000 0.0000
V1 0.1684 0.8316 0.2506
V2 0.1684 0.8316 0.7494
V3 0.5000 0.5000 0.2577
V4 0.5000 0.5000 0.7423
V5 0.8316 0.1684 0.2506
V6 0.8316 0.1684 0.7494
W1 0.0000 0.0000 0.5000
W2 0.3337 0.6663 0.5000
W3 0.3369 0.6631 0.0000
W4 0.6631 0.3369 0.0000
W5 0.6663 0.3337 0.5000


[4]
VASP calculation (GGA-PBE) on a geometry-optimized AlVW structure.

relative energy among the computed polymorphs	0.36	kJ per mole of atoms
electronic total energy	-26.21	eV/f.u.
N(E_F)	0.565	states/eV/atom
symmetry	I4mm, No. 107

abc: 3.2322 3.2322 8.6004
angles: 90.00 90.00 90.00
Fractional positions:
Al1 0.0000 0.0000 0.0000
Al2 0.5000 0.5000 0.5000
V1 0.0000 0.0000 0.3250
V2 0.5000 0.5000 0.8250
W1 0.0000 0.0000 0.6782
W2 0.5000 0.5000 0.1782


[5]
VASP calculation (GGA-PBE) on a geometry-optimized Al3V4W2 structure.

electronic total energy	-74.72	eV/f.u.
N(E_F)	0.724	states/eV/atom
symmetry	P-1, No. 2

abc: 2.6630 6.7818 7.4927
angles: 100.67 91.12 95.67
Fractional positions:
Al1 0.0000 0.0000 0.0000
Al2 0.0846 0.3158 0.5512
Al3 0.9154 0.6842 0.4488
V1 0.3868 0.9947 0.6672
V2 0.4628 0.3377 0.2234
V3 0.5372 0.6623 0.7766
V4 0.6132 0.0053 0.3328
W1 0.2400 0.6680 0.1121
W2 0.7600 0.3320 0.8879


[6]
VASP calculation (GGA-PBE) on a geometry-optimized AlV4W3 structure.

electronic total energy	-80.01	eV/f.u.
N(E_F)	0.753	states/eV/atom
symmetry	Pmmm, No. 47

abc: 3.1233 4.3131 8.6840
angles: 90.00 90.00 90.00
Fractional positions:
Al1 0.0000 0.0000 0.0000
V1 0.5000 0.0000 0.2542
V2 0.5000 0.0000 0.7458
V3 0.5000 0.5000 0.0000
V4 0.5000 0.5000 0.5000
W1 0.0000 0.0000 0.5000
W2 0.0000 0.5000 0.2425
W3 0.0000 0.5000 0.7575